(1)
{
  "formula": "Cu4MoBr",
  "functional": "PBE",
  "state": "relaxed",
  "lattice_angstrom": [[0.000, 3.551, 3.551], [3.551, 0.000, 3.551], [3.551, 3.551, 0.000]],
  "species": ["Cu", "Cu", "Cu", "Cu", "Mo", "Br"],
  "fractional_positions": [[0.873, 0.376, 0.376], [0.376, 0.873, 0.376], [0.376, 0.376, 0.376], [0.376, 0.376, 0.873], [0.750, 0.750, 0.750], [0.000, 0.000, 0.000]],
  "dos_ef_per_ev_atom": 0.586,
  "e_form_raw_ev_per_atom": 0.620,
  "density_g_cm3": 7.97,
  "total_magnetization_mub_per_fu": 3.5
}

(2)
{
  "formula": "Cu2MoBr",
  "functional": "PBE",
  "state": "relaxed",
  "lattice_angstrom": [[-2.798, -2.870, 1.382], [1.553, 0.196, 3.551], [-2.468, 2.850, 0.922]],
  "species": ["Mo", "Br", "Cu", "Cu"],
  "fractional_positions": [[0.500, 0.500, 0.000], [0.500, 0.000, 0.500], [0.000, 0.000, 0.000], [0.000, 0.500, 0.500]],
  "dos_ef_per_ev_atom": 0.830,
  "e_form_raw_ev_per_atom": 0.900,
  "density_g_cm3": 7.88,
  "total_magnetization_mub_per_fu": 2.4,
  "relative_energy_ev_per_atom": 0.457
}

(3)
{
  "formula": "Cu2MoBr",
  "functional": "PBE",
  "state": "relaxed",
  "lattice_angstrom": [[4.412, 0.000, 0.000], [2.206, 3.821, 0.000], [2.206, 1.274, 3.602]],
  "species": ["Cu", "Cu", "Mo", "Br"],
  "fractional_positions": [[0.750, 0.750, 0.750], [0.000, 0.000, 0.000], [0.250, 0.250, 0.250], [0.500, 0.500, 0.500]],
  "dos_ef_per_ev_atom": 0.651,
  "e_form_raw_ev_per_atom": 0.846,
  "density_g_cm3": 8.29,
  "total_magnetization_mub_per_fu": 0.0,
  "relative_energy_ev_per_atom": 0.403
}

(4)
{
  "formula": "CuMo2Br",
  "functional": "PBE",
  "state": "relaxed",
  "lattice_angstrom": [[4.673, 0.000, 0.000], [0.000, 3.759, 0.000], [0.000, 0.000, 3.759]],
  "species": ["Cu", "Mo", "Mo", "Br"],
  "fractional_positions": [[0.500, 0.000, 0.500], [0.000, 0.000, 0.000], [0.000, 0.500, 0.500], [0.500, 0.500, 0.000]],
  "dos_ef_per_ev_atom": 0.614,
  "e_form_raw_ev_per_atom": 0.982,
  "density_g_cm3": 8.43,
  "total_magnetization_mub_per_fu": 0.0,
  "relative_energy_ev_per_atom": 0.603
}

(5)
{
  "formula": "CuMo2Br",
  "functional": "PBE",
  "state": "relaxed",
  "lattice_angstrom": [[5.459, 0.013, 0.002], [2.744, 4.719, -0.002], [-3.601, -3.233, 2.526]],
  "species": ["Mo", "Mo", "Cu", "Br"],
  "fractional_positions": [[0.988, 0.988, 0.000], [0.512, 0.512, 0.000], [0.250, 0.750, 0.500], [0.750, 0.250, 0.500]],
  "dos_ef_per_ev_atom": 0.960,
  "e_form_raw_ev_per_atom": 0.837,
  "density_g_cm3": 8.57,
  "total_magnetization_mub_per_fu": 0.0,
  "relative_energy_ev_per_atom": 0.458
}

(6)
{
  "formula": "CuMo2Br",
  "functional": "PBE",
  "state": "relaxed",
  "lattice_angstrom": [[4.705, 0.019, 0.038], [3.557, 3.079, 0.038], [3.900, 1.462, 6.296]],
  "species": ["Mo", "Mo", "Cu", "Br"],
  "fractional_positions": [[0.482, 0.482, 0.377], [0.018, 0.018, 0.123], [0.250, 0.250, 0.250], [0.750, 0.750, 0.750]],
  "dos_ef_per_ev_atom": 0.307,
  "e_form_raw_ev_per_atom": 0.557,
  "density_g_cm3": 6.17,
  "total_magnetization_mub_per_fu": 0.0,
  "relative_energy_ev_per_atom": 0.178
}